(1)
Below is crystalline RbCaVCl6 at its relaxed geometry, with properties calculated at the GGA-PBE level.

Values from the calculation:
* Fermi-level density of states: 11.041 states/eV per cell
* energy relative to the elements, uncorrected: -1790 meV/atom
* space-group type: P312
* calculated total energy: -0.1604 hartree per atom

Cell and atoms, written as extended XYZ:
```
9
Lattice="-4.6773 -0.6271 4.8792 -1.7833 -6.1617 2.2204 5.1818 0.3046 5.0069" Properties=species:S:1:pos:R:3 pbc="T T T"
Rb 0.5046 -0.3225 9.8859
Ca -1.7162 -4.3737 7.2363
V 0.4375 -2.1107 4.8699
Cl 0.7755 -2.0919 2.4856
Cl 1.8977 -0.2398 5.2779
Cl 0.1186 -2.3326 7.2464
Cl 2.3382 -3.5807 5.0249
Cl -1.1542 -3.8961 4.5927
Cl -1.3512 -0.5227 4.5914
```

=====

(2)
Below is crystalline MgZrFe2 at its relaxed geometry, with properties calculated at the GGA-PBE level.

Values from the calculation:
* Fermi-level density of states: 6.072 states/eV per cell
* space-group type: I-42d
* calculated total energy: -0.2285 hartree per atom

Cell and atoms, written as extended XYZ:
```
8
Lattice="-1.3091 -5.0990 4.6183 6.5173 0.5863 2.4947 1.7335 -0.3735 5.3885" Properties=species:S:1:pos:R:3 pbc="T T T"
Mg 2.6041 -2.2564 3.5565
Mg 5.4274 -1.0218 5.7199
Fe 0.4340 -3.1909 4.5308
Fe 4.3389 -0.3804 3.4982
Fe 3.2738 -1.9706 6.7167
Fe 5.8367 -4.2306 10.2574
Zr 0.0000 0.0000 0.0000
Zr 1.5142 -3.8645 6.7817
```

=====

(3)
Below is crystalline NdZn2SiPt at its relaxed geometry, with properties calculated at the GGA-PBE level.

Values from the calculation:
* Fermi-level density of states: 2.147 states/eV per cell
* energy relative to the elements, uncorrected: -675 meV/atom
* space-group type: Imm2
* calculated total energy: -0.1628 hartree per atom

Cell and atoms, written as extended XYZ:
```
5
Lattice="4.1891 0.0000 0.0000 0.0000 4.2204 0.0000 -2.0945 -2.1102 5.2159" Properties=species:S:1:pos:R:3 pbc="T T T"
Nd 0.0000 0.0000 4.5830
Zn 2.0945 0.0000 2.0012
Zn 0.0000 0.0000 0.5789
Si 2.0945 2.1102 3.3663
Pt 0.0000 2.1102 2.1153
```

=====

(4)
Below is crystalline BaSrCr2 at its relaxed geometry, with properties calculated at the GGA-PBE level.

Values from the calculation:
* Fermi-level density of states: 3.040 states/eV per cell
* space-group type: Amm2
* calculated total energy: -0.1806 hartree per atom

Cell and atoms, written as extended XYZ:
```
4
Lattice="4.9598 0.0000 0.0000 0.0000 4.6839 -0.0123 0.0000 2.3635 6.3185" Properties=species:S:1:pos:R:3 pbc="T T T"
Ba 2.4799 5.5807 5.2373
Cr 0.0000 0.8777 0.0047
Cr 2.4799 0.8840 1.6134
Sr 0.0000 3.2286 2.6039
```

=====

(5)
Below is crystalline Na3Bi2PdO6 at its relaxed geometry, with properties calculated at the GGA-PBE level.

Values from the calculation:
* Fermi-level density of states: 1.006 states/eV per cell
* energy relative to the elements, uncorrected: -1113 meV/atom
* space-group type: C2/m
* calculated total energy: -0.1838 hartree per atom

Cell and atoms, written as extended XYZ:
```
12
Lattice="5.9538 -0.0186 0.0089 -2.9916 5.1477 0.0089 -0.9795 -1.6960 5.6153" Properties=species:S:1:pos:R:3 pbc="T T T"
Na -2.0793 3.4900 2.8166
Na 4.0621 -0.0569 2.8166
Na 0.9914 1.7165 2.8166
Bi -0.0430 3.4448 0.0089
Bi 3.0052 1.6843 0.0089
Pd 0.0000 0.0000 0.0000
O 2.9422 1.8078 4.3295
O 2.0996 3.6354 1.1901
O -0.9594 1.6253 1.3036
O 0.0955 3.4519 4.3295
O -0.1168 -0.2023 4.4430
O 1.8873 -0.0188 1.3036
```

=====

(6)
Below is crystalline Li3Er3TcO8 at its relaxed geometry, with properties calculated at the GGA-PBE level.

Values from the calculation:
* energy relative to the elements, uncorrected: -2591 meV/atom
* space-group type: R-3m
* calculated total energy: -0.2654 hartree per atom

Cell and atoms, written as extended XYZ:
```
15
Lattice="-5.1793 3.9492 0.9298 0.0571 -4.2173 -5.0485 -0.4351 -1.9652 5.9236" Properties=species:S:1:pos:R:3 pbc="T T T"
Li 0.0000 0.0000 0.0000
Li 0.0285 -2.1086 -2.5243
Li -2.5611 -0.1340 -2.0594
Er -2.8072 0.9920 3.4267
Er -2.7787 -1.1166 0.9024
Er -0.1890 -3.0912 0.4375
Tc -0.2176 -0.9826 2.9618
O -1.4136 -1.6759 -0.7582
O -4.1438 -0.5574 2.5631
O -4.0859 0.2155 -0.4008
O -1.4714 -2.4488 2.2057
O -4.1167 2.4974 2.3308
O -1.4406 -4.7307 -0.5260
O -1.3145 0.3606 1.8277
O -4.2428 -2.5939 -0.0229
```

=====

(7)
Below is crystalline Cs2ScNbF6 at its relaxed geometry, with properties calculated at the GGA-PBE level.

Values from the calculation:
* Fermi-level density of states: 5.584 states/eV per cell
* energy relative to the elements, uncorrected: -2664 meV/atom
* space-group type: Fm-3m
* calculated total energy: -0.2057 hartree per atom

Cell and atoms, written as extended XYZ:
```
10
Lattice="-1.5236 5.8681 1.7128 -6.0989 -1.3397 -0.8354 -4.1038 0.9497 4.6823" Properties=species:S:1:pos:R:3 pbc="T T T"
Cs -4.7193 4.5410 3.4169
Cs -7.0070 0.9371 2.1428
Sc -3.8113 2.2642 0.4387
Nb 0.0000 0.0000 0.0000
F -3.9524 1.6297 2.4870
F -7.7739 3.8484 3.0727
F -1.9710 1.1710 0.2269
F -5.6515 3.3575 0.6505
F -2.7067 4.0043 1.0539
F -4.9158 0.5241 -0.1765
```

=====

(8)
Below is crystalline Cr2SbMoIr at its relaxed geometry, with properties calculated at the GGA-PBE level.

Values from the calculation:
* Fermi-level density of states: 6.609 states/eV per cell
* energy relative to the elements, uncorrected: 2109 meV/atom
* space-group type: P4/mmm
* calculated total energy: -0.2390 hartree per atom

Cell and atoms, written as extended XYZ:
```
5
Lattice="-2.5404 0.3802 -3.8068 -3.8934 -0.7666 2.5216 -0.4168 4.5149 0.7291" Properties=species:S:1:pos:R:3 pbc="T T T"
Sb 0.0000 0.0000 0.0000
Mo -3.4253 2.0642 -0.2781
Ir -1.9467 -0.3833 1.2608
Cr -0.2084 2.2575 0.3645
Cr -1.2702 0.1901 -1.9034
```

=====

(9)
Below is crystalline Cs2Hg2Br at its relaxed geometry, with properties calculated at the GGA-PBE level.

Values from the calculation:
* Fermi-level density of states: 9.274 states/eV per cell
* energy relative to the elements, uncorrected: -697 meV/atom
* space-group type: P4/mbm
* calculated total energy: -0.0549 hartree per atom

Cell and atoms, written as extended XYZ:
```
10
Lattice="-9.1529 -3.5338 -0.8967 1.6611 -6.1991 7.4752 -1.8727 3.9199 3.6669" Properties=species:S:1:pos:R:3 pbc="T T T"
Cs -1.4566 -6.0709 5.7459
Cs -6.2167 -7.1524 4.4711
Cs -6.0352 -3.6621 0.8326
Cs -1.2751 -2.5806 2.1075
Hg -0.9329 -2.2142 6.2973
Hg -5.0456 -5.7118 7.9360
Hg -8.4315 -3.5989 3.9481
Hg -4.3189 -0.1012 2.3094
Br 0.0000 0.0000 0.0000
Br -3.7459 -4.8665 3.2893
```

=====

(10)
Below is crystalline SrNdPtAu at its relaxed geometry, with properties calculated at the GGA-PBE level.

Values from the calculation:
* Fermi-level density of states: 2.906 states/eV per cell
* space-group type: Amm2
* calculated total energy: -0.1768 hartree per atom

Cell and atoms, written as extended XYZ:
```
4
Lattice="4.0668 0.0000 0.0000 0.0000 4.5588 0.0000 -2.0334 0.0000 5.7536" Properties=species:S:1:pos:R:3 pbc="T T T"
Sr 0.0000 0.0000 1.6394
Nd 2.0334 2.2794 4.2179
Pt 0.0000 0.0000 4.7343
Au 2.0334 2.2794 0.9156
```

=====

(11)
Below is crystalline BeGa2Si2Pd5 at its relaxed geometry, with properties calculated at the GGA-PBE level.

Values from the calculation:
* Fermi-level density of states: 5.443 states/eV per cell
* energy relative to the elements, uncorrected: -415 meV/atom
* space-group type: P4/mbm
* calculated total energy: -0.1865 hartree per atom

Cell and atoms, written as extended XYZ:
```
20
Lattice="-0.9796 0.8150 2.6985 -1.9278 -9.4569 2.1565 9.1403 -1.0353 3.6308" Properties=species:S:1:pos:R:3 pbc="T T T"
Be 0.0000 0.0000 0.0000
Be 3.6062 -5.2461 2.8937
Ga 0.2761 -6.5324 2.0733
Ga 6.9363 -3.9598 3.7141
Ga 2.6672 -1.9656 1.5619
Ga 4.5453 -8.5266 4.2254
Si 5.6672 -2.1135 2.6957
Si 1.5453 -8.3786 3.0917
Si 6.4929 -7.0447 4.4849
Si 0.7196 -3.4475 1.3025
Pd -0.7988 -1.5105 1.8164
Pd 7.0317 -8.1666 6.6695
Pd 6.7885 -0.5017 4.2661
Pd 2.6472 -6.7384 4.6464
Pd -0.5557 -9.1754 4.2198
Pd 3.5857 -2.9387 3.8394
Pd 4.9446 -5.1304 4.9947
Pd 1.2883 -4.5467 3.4911
Pd -1.4537 -4.3209 2.4275
Pd 4.0803 -0.1101 3.1647
```